(1)
Entry from Alexandria via LeMat-Bulk: an optimized crystal structure of Pr5Mg4Al (PBE-GGA).

```
Pr5Mg4Al
1.0
3.8588 0.0000 0.0000
0.0000 3.8588 0.0000
0.0000 0.0000 19.6541
Pr Mg Al
5 4 1
Direct
0.0000 0.0000 0.0000 Pr
0.0000 0.0000 0.2035 Pr
0.0000 0.0000 0.4087 Pr
0.0000 0.0000 0.5913 Pr
0.0000 0.0000 0.7965 Pr
0.5000 0.5000 0.1017 Mg
0.5000 0.5000 0.3041 Mg
0.5000 0.5000 0.6959 Mg
0.5000 0.5000 0.8983 Mg
0.5000 0.5000 0.5000 Al
```

Properties
Mass density   4.70 g/cm3
Energy of formation   -0.16 eV per atom
Space-group type   P4/mmm

(2)
Entry from Alexandria via LeMat-Bulk: an optimized crystal structure of NaDyP (PBE-GGA).

```
NaDyP
1.0
2.2831 1.3182 10.2676
-2.2831 1.3182 10.2676
0.0000 -2.6363 10.2676
Na Dy P
2 2 2
Direct
0.1201 0.1201 0.1201 Na
0.8799 0.8799 0.8799 Na
0.2954 0.2954 0.2954 Dy
0.7046 0.7046 0.7046 Dy
0.3915 0.3915 0.3915 P
0.6085 0.6085 0.6085 P
```

Properties
Mass density   3.88 g/cm3
Energy of formation   -0.70 eV per atom
Space-group type   R-3m

(3)
Entry from Alexandria via LeMat-Bulk: an optimized crystal structure of Y6UO12 (PBE-GGA).

```
Y6UO12
1.0
5.0157 2.8958 3.1541
-5.0157 2.8958 3.1541
0.0000 -5.7916 3.1541
Y U O
6 1 12
Direct
0.1097 0.6451 0.8215 Y
0.1785 0.8903 0.3549 Y
0.3549 0.1785 0.8903 Y
0.6451 0.8215 0.1097 Y
0.8215 0.1097 0.6451 Y
0.8903 0.3549 0.1785 Y
0.5000 0.5000 0.5000 U
0.0725 0.3226 0.9119 O
0.0881 0.9275 0.6774 O
0.1923 0.5469 0.4202 O
0.3226 0.9119 0.0725 O
0.4202 0.1923 0.5469 O
0.4531 0.5798 0.8077 O
0.5469 0.4202 0.1923 O
0.5798 0.8077 0.4531 O
0.6774 0.0881 0.9275 O
0.8077 0.4531 0.5798 O
0.9119 0.0725 0.3226 O
0.9275 0.6774 0.0881 O
```

Properties
Mass density   5.82 g/cm3
Final energy   -176.60 eV/f.u.
Space-group type   R-3

(4)
Entry from Alexandria via LeMat-Bulk: an optimized crystal structure of LiSi2P (PBE-GGA).

```
LiSi2P
1.0
3.2827 0.0000 0.0000
-1.6414 2.8429 0.0000
0.0000 0.0000 21.3911
Li Si P
3 6 3
Direct
0.0000 0.0000 0.0000 Li
0.3333 0.6667 0.6667 Li
0.6667 0.3333 0.3333 Li
0.0000 0.0000 0.2364 Si
0.0000 0.0000 0.7636 Si
0.3333 0.6667 0.4302 Si
0.3333 0.6667 0.9031 Si
0.6667 0.3333 0.0969 Si
0.6667 0.3333 0.5698 Si
0.0000 0.0000 0.5000 P
0.3333 0.6667 0.1667 P
0.6667 0.3333 0.8333 P
```

Properties
Mass density   2.35 g/cm3
Final energy   -17.58 eV/f.u.
Space-group type   R-3m

(5)
Entry from Alexandria via LeMat-Bulk: an optimized crystal structure of LaYCoPd (PBE-GGA).

```
LaYCoPd
1.0
7.0491 0.0000 0.0000
0.0000 7.0491 0.0000
0.0000 0.0000 7.0491
La Y Co Pd
4 4 4 4
Direct
0.0000 0.0000 0.0000 La
0.0000 0.5000 0.5000 La
0.5000 0.0000 0.5000 La
0.5000 0.5000 0.0000 La
0.0000 0.0000 0.5000 Y
0.0000 0.5000 0.0000 Y
0.5000 0.0000 0.0000 Y
0.5000 0.5000 0.5000 Y
0.2500 0.2500 0.2500 Co
0.2500 0.7500 0.7500 Co
0.7500 0.2500 0.7500 Co
0.7500 0.7500 0.2500 Co
0.2500 0.2500 0.7500 Pd
0.2500 0.7500 0.2500 Pd
0.7500 0.2500 0.2500 Pd
0.7500 0.7500 0.7500 Pd
```

Properties
Mass density   7.46 g/cm3
Energy of formation   -0.38 eV per atom
Space-group type   F-43m

(6)
Entry from Alexandria via LeMat-Bulk: an optimized crystal structure of Tb2Pr4HoEr2 (PBE-GGA).

```
Tb2Pr4HoEr2
1.0
7.6834 -2.5571 0.0000
7.6834 2.5571 0.0000
-2.5590 0.0000 7.6458
Tb Pr Ho Er
2 4 1 2
Direct
0.1116 0.1116 0.1706 Tb
0.8884 0.8884 0.8294 Tb
0.2227 0.2227 0.8306 Pr
0.4462 0.4462 0.1699 Pr
0.5538 0.5538 0.8301 Pr
0.7773 0.7773 0.1694 Pr
0.0000 0.0000 0.5000 Ho
0.3326 0.3326 0.5004 Er
0.6674 0.6674 0.4996 Er
```

Properties
Mass density   7.63 g/cm3
Energy of formation   0.02 eV per atom
Space-group type   C2/m